# Y4Tl3

A geometry-optimized Y4Tl3 structure (PBE, Alexandria).

Output
energy above the most stable polymorph in this dataset	141	meV/atom
ΔE_f	-0.19	eV/atom
density	7810	kg/m³

POSCAR file:
```
Y4Tl3
1.0
-5.966 14.534 1.127
-7.745 13.252 -3.532
4.724 -14.852 2.281
Y Tl
4 3
direct
0.852 0.852 0.000
0.148 0.148 0.000
0.568 0.568 0.000
0.432 0.432 0.000
0.000 0.000 0.000
0.717 0.717 0.000
0.283 0.283 0.000
```